# 1
The following is a PBE calculation of a relaxed structure of Sc4PS2N, from the Alexandria database.

Computed properties:
- Size of the total moment: 0.00 μB/f.u.
- DOS(E_F): 3.3 states/eV/cell
- Formation energy from raw total energies: -13.9 eV/f.u.
- SG: P2/m (10)
- Volume: 132 Å³/f.u.

Cell lengths 6.2177, 3.5607, 6.3043 Å; angles 90.00, 108.94, 90.00 degrees
Closest atoms and distances in Å follow each position.
Positions (direct):
Sc 0.2183 0.0000 0.2138  2 N 2.38, 1 P 2.53, 1 S 2.59
Sc 0.2325 0.5000 0.7767  1 N 2.32, 2 P 2.53, 2 S 2.58
Sc 0.7675 0.5000 0.2233  1 N 2.32, 2 P 2.53, 2 S 2.58
Sc 0.7817 0.0000 0.7862  2 N 2.38, 1 P 2.53, 1 S 2.59
P 0.5000 0.0000 0.0000  6 Sc 2.53
S 0.0000 0.0000 0.5000  6 Sc 2.58-2.59
S 0.5000 0.5000 0.5000  6 Sc 2.73-2.77
N 0.0000 0.5000 0.0000  6 Sc 2.32-2.38



# 2
The following is a PBE calculation of a relaxed structure of Li6AgAu10, from the Alexandria database.

Computed properties:
- Size of the total moment: 0.00 μB/f.u.
- DOS(E_F): 4.8 states/eV/cell
- SG: P-31m (162)
- Volume: 282 Å³/f.u.
- Energy of formation from the pure elements: -373 meV/atom

Cell lengths 7.7236, 7.7236, 5.4644 Å; angles 90.00, 90.00, 120.00 degrees
Closest atoms and distances in Å follow each position.
Positions (direct):
Li 0.0000 0.3646 0.3084  9 Au 2.67-2.98, 1 Li 2.96
Li 0.0000 0.6354 0.6916  9 Au 2.67-2.98, 1 Li 2.96
Li 0.3646 0.0000 0.3084  9 Au 2.67-2.98, 1 Li 2.96
Li 0.3646 0.3646 0.6916  9 Au 2.67-2.98, 1 Li 2.96
Li 0.6354 0.0000 0.6916  9 Au 2.67-2.98, 1 Li 2.96
Li 0.6354 0.6354 0.3084  9 Au 2.67-2.98, 1 Li 2.96
Ag 0.0000 0.0000 0.5000  6 Au 2.84, 6 Li 3.00
Au 0.0000 0.2921 0.8172  5 Li 2.67-2.84, 1 Ag 2.84, 2 Au 2.92
Au 0.0000 0.7079 0.1828  5 Li 2.67-2.84, 1 Ag 2.84, 2 Au 2.92
Au 0.2921 0.0000 0.8172  5 Li 2.67-2.84, 1 Ag 2.84, 2 Au 2.92
Au 0.2921 0.2921 0.1828  5 Li 2.67-2.84, 1 Ag 2.84, 2 Au 2.92
Au 0.3333 0.6667 0.0000  8 Au 2.73-2.92, 6 Li 2.98
Au 0.3333 0.6667 0.5000  6 Li 2.68, 2 Au 2.73
Au 0.6667 0.3333 0.0000  8 Au 2.73-2.92, 6 Li 2.98
Au 0.6667 0.3333 0.5000  6 Li 2.68, 2 Au 2.73
Au 0.7079 0.0000 0.1828  5 Li 2.67-2.84, 1 Ag 2.84, 2 Au 2.92
Au 0.7079 0.7079 0.8172  5 Li 2.67-2.84, 1 Ag 2.84, 2 Au 2.92



# 3
The following is a PBE calculation of a relaxed structure of Sr3Zn2Rh2, from the Alexandria database.

Computed properties:
- Size of the total moment: 0.00 μB/f.u.
- DOS(E_F): 13.8 states/eV/cell
- SG: Pbcm (57)
- Volume: 177 Å³/f.u.
- Energy of formation from the pure elements: -355 meV/atom

Cell lengths 6.0464, 8.2139, 14.2452 Å; angles 90.00, 90.00, 90.00 degrees
Closest atoms and distances in Å follow each position.
Positions (direct):
Sr 0.1278 0.2474 0.2500  2 Zn 3.06, 4 Rh 3.23-3.31
Sr 0.1278 0.2526 0.7500  2 Zn 3.06, 4 Rh 3.23-3.31
Sr 0.3559 0.6035 0.5963  4 Rh 3.04-3.30, 3 Zn 3.30-3.34
Sr 0.3559 0.6035 0.9037  4 Rh 3.04-3.30, 3 Zn 3.30-3.34
Sr 0.3559 0.8965 0.0963  4 Rh 3.04-3.30, 3 Zn 3.30-3.34
Sr 0.3559 0.8965 0.4037  4 Rh 3.04-3.30, 3 Zn 3.30-3.34
Sr 0.6441 0.1035 0.5963  4 Rh 3.04-3.30, 3 Zn 3.30-3.34
Sr 0.6441 0.1035 0.9037  4 Rh 3.04-3.30, 3 Zn 3.30-3.34
Sr 0.6441 0.3965 0.0963  4 Rh 3.04-3.30, 3 Zn 3.30-3.34
Sr 0.6441 0.3965 0.4037  4 Rh 3.04-3.30, 3 Zn 3.30-3.34
Sr 0.8722 0.7474 0.2500  2 Zn 3.06, 4 Rh 3.23-3.31
Sr 0.8722 0.7526 0.7500  2 Zn 3.06, 4 Rh 3.23-3.31
Zn 0.0994 0.2500 0.0000  4 Rh 2.64-2.66
Zn 0.0994 0.2500 0.5000  4 Rh 2.64-2.66
Zn 0.3308 0.5891 0.2500  2 Rh 2.59
Zn 0.3308 0.9109 0.7500  2 Rh 2.59
Zn 0.6692 0.0891 0.2500  2 Rh 2.59
Zn 0.6692 0.4109 0.7500  2 Rh 2.59
Zn 0.9006 0.7500 0.0000  4 Rh 2.64-2.66
Zn 0.9006 0.7500 0.5000  4 Rh 2.64-2.66
Rh 0.1394 0.5279 0.0911  3 Zn 2.59-2.66
Rh 0.1394 0.5279 0.4089  3 Zn 2.59-2.66
Rh 0.1394 0.9721 0.5911  3 Zn 2.59-2.66
Rh 0.1394 0.9721 0.9089  3 Zn 2.59-2.66
Rh 0.8606 0.0279 0.0911  3 Zn 2.59-2.66
Rh 0.8606 0.0279 0.4089  3 Zn 2.59-2.66
Rh 0.8606 0.4721 0.5911  3 Zn 2.59-2.66
Rh 0.8606 0.4721 0.9089  3 Zn 2.59-2.66



# 4
The following is a PBE calculation of a relaxed structure of CdPd2Pb, from the Alexandria database.

Computed properties:
- Size of the total moment: 0.00 μB/f.u.
- DOS(E_F): 3.3 states/eV/cell
- SG: I-42d (122)
- Volume: 83 Å³/f.u.
- Energy of formation from the pure elements: -46 meV/atom

Cell lengths 6.0718, 6.0718, 6.0718 Å; angles 103.90, 103.90, 121.31 degrees
Closest atoms and distances in Å follow each position.
Positions (direct):
Cd 0.0000 0.0000 0.0000  4 Pd 2.73, 2 Pb 2.98
Cd 0.7500 0.2500 0.5000  4 Pd 2.73, 2 Pb 2.98
Pd 0.1217 0.1250 0.4967  2 Cd 2.73, 2 Pb 2.77, 2 Pd 2.98
Pd 0.3750 0.8783 0.0033  2 Cd 2.73, 2 Pb 2.77, 2 Pd 2.98
Pd 0.6283 0.6250 0.5033  2 Cd 2.73, 2 Pb 2.77, 2 Pd 2.98
Pd 0.8750 0.3717 0.9967  2 Cd 2.73, 2 Pb 2.77, 2 Pd 2.98
Pb 0.2500 0.7500 0.5000  4 Pd 2.77, 2 Cd 2.98
Pb 0.5000 0.5000 0.0000  4 Pd 2.77, 2 Cd 2.98



# 5
The following is a PBE calculation of a relaxed structure of TlSn3Pb12, from the Alexandria database.

Computed properties:
- Size of the total moment: 0.00 μB/f.u.
- DOS(E_F): 11.8 states/eV/cell
- SG: P4/mmm (123)
- Volume: 497 Å³/f.u.
- Energy of formation from the pure elements: 44 meV/atom

Cell lengths 6.0025, 6.0025, 13.7998 Å; angles 90.00, 90.00, 90.00 degrees
Closest atoms and distances in Å follow each position.
Positions (direct):
Tl 0.0000 0.0000 0.0000  2 Sn 3.45, 8 Pb 3.50
Sn 0.0000 0.0000 0.2502  8 Pb 3.42-3.47, 1 Sn 3.45, 1 Tl 3.45
Sn 0.0000 0.0000 0.5000  2 Sn 3.45, 8 Pb 3.46
Sn 0.0000 0.0000 0.7498  8 Pb 3.42-3.47, 1 Sn 3.45, 1 Tl 3.45
Pb 0.0000 0.5000 0.1310  6 Pb 3.38-3.62, 2 Sn 3.42, 2 Tl 3.50
Pb 0.0000 0.5000 0.3758  6 Pb 3.38-3.47, 4 Sn 3.46-3.47
Pb 0.0000 0.5000 0.6242  6 Pb 3.38-3.47, 4 Sn 3.46-3.47
Pb 0.0000 0.5000 0.8690  6 Pb 3.38-3.62, 2 Sn 3.42, 2 Tl 3.50
Pb 0.5000 0.0000 0.1310  6 Pb 3.38-3.62, 2 Sn 3.42, 2 Tl 3.50
Pb 0.5000 0.0000 0.3758  6 Pb 3.38-3.47, 4 Sn 3.46-3.47
Pb 0.5000 0.0000 0.6242  6 Pb 3.38-3.47, 4 Sn 3.46-3.47
Pb 0.5000 0.0000 0.8690  6 Pb 3.38-3.62, 2 Sn 3.42, 2 Tl 3.50
Pb 0.5000 0.5000 0.0000  10 Pb 3.45-3.50
Pb 0.5000 0.5000 0.2500  10 Pb 3.42-3.47
Pb 0.5000 0.5000 0.5000  10 Pb 3.45-3.46
Pb 0.5000 0.5000 0.7500  10 Pb 3.42-3.47



# 6
The following is a PBE calculation of a relaxed structure of SrBe2Cu, from the Alexandria database.

Computed properties:
- Size of the total moment: 0.00 μB/f.u.
- DOS(E_F): 2.2 states/eV/cell
- Energy above the most stable polymorph in this dataset: 0.801 eV per atom
- SG: P4/mmm (123)
- Volume: 76 Å³/f.u.
- Energy of formation from the pure elements: 842 meV/atom

Cell lengths 4.1471, 4.1471, 4.4349 Å; angles 90.00, 90.00, 90.00 degrees
Closest atoms and distances in Å follow each position.
Positions (direct):
Sr 0.0000 0.0000 0.0000  4 Cu 2.93, 8 Be 3.04
Be 0.0000 0.5000 0.5000  4 Be 2.93, 4 Cu 3.04, 4 Sr 3.04
Be 0.5000 0.0000 0.5000  4 Be 2.93, 4 Cu 3.04, 4 Sr 3.04
Cu 0.5000 0.5000 0.0000  4 Sr 2.93, 8 Be 3.04